(1)
## RbAl3N (PBE-GGA)

Data for a relaxed structure of RbAl3N.

Computed properties:
- formation energy from raw total energies (eV/atom) = 0.814
- excess energy over the best structure of this formula in the dataset (eV per formula unit) = 0.00
- calculated density (g/cm3) = 2.89

```
data_RbAl3N
_chemical_formula_sum 'Rb1 Al3 N1'
_cell_length_a 4.697
_cell_length_b 4.697
_cell_length_c 4.697
_cell_angle_alpha 90.00
_cell_angle_beta 90.00
_cell_angle_gamma 90.00
_space_group_name_H-M_alt 'P m -3 m'
_space_group_IT_number 221
_space_group_name_Hall '-P 4 2 3'
loop_
_atom_site_label
_atom_site_type_symbol
_atom_site_fract_x
_atom_site_fract_y
_atom_site_fract_z
_atom_site_occupancy
Rb1 Rb 0.000 0.000 0.000 1
Al1 Al 0.000 0.500 0.500 1
N1 N 0.500 0.500 0.500 1
```


(2)
## Sr2TaAlCu2O7 (PBE-GGA)

Data for a relaxed structure of Sr2TaAlCu2O7.

Computed properties:
- formation energy from raw total energies (eV/atom) = -2.089
- calculated density (g/cm3) = 5.59

```
data_Sr2TaAlCu2O7
_chemical_formula_sum 'Sr4 Ta2 Al2 Cu4 O14'
_cell_length_a 5.425
_cell_length_b 5.998
_cell_length_c 12.002
_cell_angle_alpha 102.37
_cell_angle_beta 101.45
_cell_angle_gamma 95.66
_space_group_name_H-M_alt 'P 1'
_space_group_IT_number 1
_space_group_name_Hall 'P 1'
loop_
_atom_site_label
_atom_site_type_symbol
_atom_site_fract_x
_atom_site_fract_y
_atom_site_fract_z
_atom_site_occupancy
Sr1 Sr 0.000 0.000 0.000 1
Sr2 Sr 0.214 0.213 0.436 1
Sr3 Sr 0.550 0.429 0.987 1
Sr4 Sr 0.768 0.636 0.451 1
Ta1 Ta 0.198 0.660 0.218 1
Ta2 Ta 0.621 0.986 0.218 1
Al1 Al 0.430 0.483 0.710 1
Al2 Al 0.883 0.939 0.723 1
Cu1 Cu 0.320 0.880 0.610 1
Cu2 Cu 0.450 0.966 0.826 1
Cu3 Cu 0.858 0.311 0.613 1
Cu4 Cu 0.969 0.499 0.827 1
O1 O 0.063 0.451 0.074 1
O2 O 0.122 0.834 0.819 1
O3 O 0.138 0.508 0.594 1
O4 O 0.200 0.592 0.364 1
O5 O 0.246 0.351 0.802 1
O6 O 0.514 0.227 0.615 1
O7 O 0.526 0.072 0.078 1
O8 O 0.564 0.643 0.222 1
O9 O 0.609 0.718 0.640 1
O10 O 0.656 0.205 0.357 1
O11 O 0.677 0.634 0.853 1
O12 O 0.772 0.133 0.836 1
O13 O 0.973 0.907 0.217 1
O14 O 0.992 0.986 0.591 1
```


(3)
## Li2AcAu3 (PBE-GGA)

Data for a relaxed structure of Li2AcAu3.

Computed properties:
- ΔE_f (meV per atom) = -632
- excess energy over the best structure of this formula in the dataset (eV per formula unit) = 0.11
- calculated density (g/cm3) = 10.63

```
data_Li2AcAu3
_chemical_formula_sum 'Li8 Ac4 Au12'
_cell_length_a 10.651
_cell_length_b 9.022
_cell_length_c 5.407
_cell_angle_alpha 90.00
_cell_angle_beta 90.00
_cell_angle_gamma 90.00
_space_group_name_H-M_alt 'C m c m'
_space_group_IT_number 63
_space_group_name_Hall '-C 2c 2'
loop_
_atom_site_label
_atom_site_type_symbol
_atom_site_fract_x
_atom_site_fract_y
_atom_site_fract_z
_atom_site_occupancy
Li1 Li 0.213 0.000 0.000 1
Ac1 Ac 0.000 0.295 0.250 1
Au1 Au 0.000 0.061 0.750 1
Au2 Au 0.191 0.280 0.750 1
```


(4)
## AcTb10Tm4 (PBE-GGA)

Data for a relaxed structure of AcTb10Tm4.

Computed properties:
- ΔE_f (meV per atom) = 526
- calculated density (g/cm3) = 7.70

```
data_AcTb10Tm4
_chemical_formula_sum 'Ac2 Tb20 Tm8'
_cell_length_a 12.679
_cell_length_b 12.679
_cell_length_c 6.682
_cell_angle_alpha 90.00
_cell_angle_beta 90.00
_cell_angle_gamma 90.00
_space_group_name_H-M_alt 'I 4/m'
_space_group_IT_number 87
_space_group_name_Hall '-I 4'
loop_
_atom_site_label
_atom_site_type_symbol
_atom_site_fract_x
_atom_site_fract_y
_atom_site_fract_z
_atom_site_occupancy
Ac1 Ac 0.000 0.000 0.000 1
Tb1 Tb 0.000 0.500 0.250 1
Tb2 Tb 0.128 0.710 0.249 1
Tm1 Tm 0.068 0.180 0.500 1
```


(5)
## ZnCr2Rh (PBE-GGA)

Data for a relaxed structure of ZnCr2Rh.

Computed properties:
- ΔE_f (meV per atom) = -1
- calculated density (g/cm3) = 8.31

```
data_ZnCr2Rh
_chemical_formula_sum 'Zn2 Cr4 Rh2'
_cell_length_a 4.256
_cell_length_b 4.256
_cell_length_c 6.007
_cell_angle_alpha 90.00
_cell_angle_beta 90.00
_cell_angle_gamma 90.00
_space_group_name_H-M_alt 'I -4 m 2'
_space_group_IT_number 119
_space_group_name_Hall 'I -4 -2'
loop_
_atom_site_label
_atom_site_type_symbol
_atom_site_fract_x
_atom_site_fract_y
_atom_site_fract_z
_atom_site_occupancy
Zn1 Zn 0.000 0.000 0.000 1
Cr1 Cr 0.000 0.000 0.500 1
Cr2 Cr 0.000 0.500 0.250 1
Rh1 Rh 0.000 0.500 0.750 1
```


(6)
## La2MgMnB (PBE-GGA)

Data for a relaxed structure of La2MgMnB.

Computed properties:
- ΔE_f (meV per atom) = 281
- calculated density (g/cm3) = 5.35

```
data_La2MgMnB
_chemical_formula_sum 'La2 Mg1 Mn1 B1'
_cell_length_a 5.275
_cell_length_b 5.275
_cell_length_c 4.101
_cell_angle_alpha 90.00
_cell_angle_beta 90.00
_cell_angle_gamma 90.00
_space_group_name_H-M_alt 'P 4/m m m'
_space_group_IT_number 123
_space_group_name_Hall '-P 4 2'
loop_
_atom_site_label
_atom_site_type_symbol
_atom_site_fract_x
_atom_site_fract_y
_atom_site_fract_z
_atom_site_occupancy
La1 La 0.000 0.500 0.000 1
Mg1 Mg 0.000 0.000 0.500 1
Mn1 Mn 0.500 0.500 0.000 1
B1 B 0.500 0.500 0.500 1
```


(7)
## Tm2AlGe2Ru5 (PBE-GGA)

Data for a relaxed structure of Tm2AlGe2Ru5.

Computed properties:
- ΔE_f (meV per atom) = -498
- calculated density (g/cm3) = 10.28

```
data_Tm2AlGe2Ru5
_chemical_formula_sum 'Tm4 Al2 Ge4 Ru10'
_cell_length_a 9.957
_cell_length_b 9.957
_cell_length_c 3.309
_cell_angle_alpha 90.00
_cell_angle_beta 90.00
_cell_angle_gamma 90.00
_space_group_name_H-M_alt 'P 4/m b m'
_space_group_IT_number 127
_space_group_name_Hall '-P 4 2ab'
loop_
_atom_site_label
_atom_site_type_symbol
_atom_site_fract_x
_atom_site_fract_y
_atom_site_fract_z
_atom_site_occupancy
Tm1 Tm 0.171 0.329 0.000 1
Al1 Al 0.000 0.000 0.000 1
Ge1 Ge 0.130 0.630 0.000 1
Ru1 Ru 0.000 0.500 0.500 1
Ru2 Ru 0.064 0.800 0.500 1
```


(8)
## Er3TmCd4 (PBE-GGA)

Data for a relaxed structure of Er3TmCd4.

Computed properties:
- ΔE_f (meV per atom) = -316
- excess energy over the best structure of this formula in the dataset (eV per formula unit) = 0.00
- calculated density (g/cm3) = 9.12

```
data_Er3TmCd4
_chemical_formula_sum 'Er3 Tm1 Cd4'
_cell_length_a 5.222
_cell_length_b 5.222
_cell_length_c 7.479
_cell_angle_alpha 90.00
_cell_angle_beta 90.00
_cell_angle_gamma 90.00
_space_group_name_H-M_alt 'P 4/m m m'
_space_group_IT_number 123
_space_group_name_Hall '-P 4 2'
loop_
_atom_site_label
_atom_site_type_symbol
_atom_site_fract_x
_atom_site_fract_y
_atom_site_fract_z
_atom_site_occupancy
Er1 Er 0.000 0.000 0.000 1
Er2 Er 0.000 0.000 0.500 1
Er3 Er 0.500 0.500 0.000 1
Tm1 Tm 0.500 0.500 0.500 1
Cd1 Cd 0.000 0.500 0.251 1
```


(9)
## Cs2TcAgBr6 (PBE-GGA)

Data for a relaxed structure of Cs2TcAgBr6.

Computed properties:
- formation energy from raw total energies (eV/atom) = -0.914
- excess energy over the best structure of this formula in the dataset (eV per formula unit) = 0.00
- calculated density (g/cm3) = 4.61

```
data_Cs2TcAgBr6
_chemical_formula_sum 'Cs12 Tc6 Ag6 Br36'
_cell_length_a 7.7627
_cell_length_b 7.7627
_cell_length_c 39.4102
_cell_angle_alpha 90.00
_cell_angle_beta 90.00
_cell_angle_gamma 120.00
_space_group_name_H-M_alt 'R -3 m'
_space_group_IT_number 166
_space_group_name_Hall '-R 3 2"'
loop_
_atom_site_label
_atom_site_type_symbol
_atom_site_fract_x
_atom_site_fract_y
_atom_site_fract_z
_atom_site_occupancy
Cs1 Cs 0.0000 0.0000 0.1238 1
Cs2 Cs 0.0000 0.0000 0.2943 1
Tc1 Tc 0.0000 0.0000 0.0000 1
Tc2 Tc 0.0000 0.0000 0.5000 1
Ag1 Ag 0.0000 0.0000 0.4122 1
Br1 Br 0.0207 0.5103 0.7048 1
Br2 Br 0.0211 0.5105 0.1285 1
```


(10)
## TlNi3Ge (PBE-GGA)

Data for a relaxed structure of TlNi3Ge.

Computed properties:
- ΔE_f (meV per atom) = 1308
- excess energy over the best structure of this formula in the dataset (eV per formula unit) = 4.40
- calculated density (g/cm3) = 7.06

```
data_TlNi3Ge
_chemical_formula_sum 'Tl1 Ni3 Ge1'
_cell_length_a 4.741
_cell_length_b 4.741
_cell_length_c 4.741
_cell_angle_alpha 90.00
_cell_angle_beta 90.00
_cell_angle_gamma 90.00
_space_group_name_H-M_alt 'P m -3 m'
_space_group_IT_number 221
_space_group_name_Hall '-P 4 2 3'
loop_
_atom_site_label
_atom_site_type_symbol
_atom_site_fract_x
_atom_site_fract_y
_atom_site_fract_z
_atom_site_occupancy
Tl1 Tl 0.000 0.000 0.000 1
Ni1 Ni 0.000 0.000 0.500 1
Ge1 Ge 0.500 0.500 0.500 1
```


(11)
## LiPuPaPt (PBE-GGA)

Data for a relaxed structure of LiPuPaPt.

Computed properties:
- ΔE_f (meV per atom) = -402
- excess energy over the best structure of this formula in the dataset (eV per formula unit) = 0.00
- calculated density (g/cm3) = 14.48

```
data_LiPuPaPt
_chemical_formula_sum 'Li4 Pu4 Pa4 Pt4'
_cell_length_a 6.772
_cell_length_b 6.772
_cell_length_c 6.772
_cell_angle_alpha 90.00
_cell_angle_beta 90.00
_cell_angle_gamma 90.00
_space_group_name_H-M_alt 'F -4 3 m'
_space_group_IT_number 216
_space_group_name_Hall 'F -4 2 3'
loop_
_atom_site_label
_atom_site_type_symbol
_atom_site_fract_x
_atom_site_fract_y
_atom_site_fract_z
_atom_site_occupancy
Li1 Li 0.000 0.000 0.000 1
Pu1 Pu 0.250 0.250 0.750 1
Pa1 Pa 0.000 0.000 0.500 1
Pt1 Pt 0.250 0.250 0.250 1
```


(12)
## Zr2TaCl (PBE-GGA)

Data for a relaxed structure of Zr2TaCl.

Computed properties:
- formation energy from raw total energies (eV/atom) = 0.107
- excess energy over the best structure of this formula in the dataset (eV per formula unit) = 2.09
- calculated density (g/cm3) = 8.02

```
data_Zr2TaCl
_chemical_formula_sum 'Zr2 Ta1 Cl1'
_cell_length_a 5.170
_cell_length_b 5.170
_cell_length_c 3.088
_cell_angle_alpha 90.00
_cell_angle_beta 90.00
_cell_angle_gamma 90.00
_space_group_name_H-M_alt 'P 4/m m m'
_space_group_IT_number 123
_space_group_name_Hall '-P 4 2'
loop_
_atom_site_label
_atom_site_type_symbol
_atom_site_fract_x
_atom_site_fract_y
_atom_site_fract_z
_atom_site_occupancy
Zr1 Zr 0.000 0.500 0.000 1
Ta1 Ta 0.000 0.000 0.500 1
Cl1 Cl 0.500 0.500 0.500 1
```


Q: calculated density of number 12 (Zr2TaCl)?
A: 8.02 g/cm3